Density functional theory data (PBE-GGA) for LaTaAu2 after structural relaxation.

POSCAR file:
```
LaTaAu2
1.0
3.8569 0.0000 0.0000
0.0000 3.0667 0.0067
0.0000 3.0484 7.3760
Au La Ta
2 1 1
direct
0.0000 0.0492 0.9502
0.0000 0.4508 0.5498
0.5000 0.2500 0.2500
0.5000 0.7500 0.7500
```

Properties
ΔH_f (0 K)	-72	kJ/mol of formula units


Density functional theory data (PBE-GGA) for Li3MgTl4 after structural relaxation.

POSCAR file:
```
Li3MgTl4
1.0
-1.3127 -3.0861 -0.5741
2.8130 -1.8645 3.5911
-7.9857 2.0364 7.3126
Li Mg Tl
3 1 4
direct
0.0000 0.0000 0.4212
0.5000 0.0000 0.9162
0.0000 0.5000 0.5790
0.5000 0.5000 0.0817
0.0000 0.5000 0.8377
0.5000 0.0000 0.6503
0.0000 0.0000 0.1577
0.5000 0.5000 0.3561
```

Properties
ΔH_f (0 K)	-94	kJ/mol of formula units


Density functional theory data (PBE-GGA) for AcGdY2 after structural relaxation.

POSCAR file:
```
AcGdY2
1.0
-1.4419 0.3863 3.4372
3.4322 -0.3009 1.4736
1.1502 9.9870 -0.6399
Ac Gd Y
1 1 2
direct
0.5000 0.5000 0.5000
0.5000 0.5000 0.0000
0.0000 0.0000 0.7628
0.0000 0.0000 0.2372
```

Properties
ΔH_f (0 K)	21	kJ/mol of formula units


Density functional theory data (PBE-GGA) for FeTc3Os after structural relaxation.

POSCAR file:
```
FeTc3Os
1.0
4.3169 0.0000 0.0000
0.0000 4.3169 0.0000
0.0000 0.0000 4.3169
Fe Tc Os
1 3 1
direct
0.0000 0.0000 0.0000
0.0000 0.5000 0.0000
0.5000 0.0000 0.0000
0.0000 0.0000 0.5000
0.5000 0.5000 0.5000
```

Properties
ΔH_f (0 K)	710	kJ/mol of formula units


VASP energy (computed, Ha/atom): -0.221 -0.082 -0.284 -0.319